Record 1
DFT (PBE) results for a relaxed structure of Co4Mo5.

```
9
Lattice="-4.049 4.049 1.870 4.049 -4.049 1.870 4.049 4.049 -1.870" Properties=species:S:1:pos:R:3 pbc="T T T"
Co 2.853 0.000 0.000
Co 5.244 0.000 0.000
Co 0.000 2.853 0.000
Co 0.000 5.244 0.000
Mo 0.000 0.000 0.000
Mo 2.642 2.642 0.000
Mo 1.407 -1.407 1.870
Mo -1.407 1.407 1.870
Mo 1.407 1.407 1.870
```

Summary:
The value obtained for the polymorph energy (0 for the lowest one) is 0 meV per atom. The energy of formation from the pure elements comes out at 146 meV per atom. Its space group is No. 139.

=====

Record 2
DFT (PBE) results for a relaxed structure of La2FePd2.

```
5
Lattice="-1.894 1.894 8.188 1.894 -1.894 8.188 1.894 1.894 -8.188" Properties=species:S:1:pos:R:3 pbc="T T T"
La 0.000 0.000 1.705
La 0.000 0.000 14.671
Fe 0.000 0.000 8.188
Pd 1.894 0.000 4.094
Pd 0.000 1.894 4.094
```

Summary:
The energy of formation from the pure elements comes out at -130 meV per atom. Its space group is No. 139.